# SrZnGa2Cu4

SrZnGa2Cu4 after structural relaxation (PBE-GGA, Alexandria).

As for the total energy: -3.31 eV/atom. The calculation puts the formation energy at -0.13 eV per atom. As for the size of the total moment: 0.00 Bohr magnetons per cell.

Lattice parameters (Å, degrees): 4.1806 4.1806 9.4430 77.21 77.21 60.00
Sites, in units of the cell vectors:
Ga 0.2408 0.2408 0.2775
Ga 0.7592 0.7592 0.7225
Cu 0.8651 0.8651 0.4047
Cu 0.4122 0.4122 0.7635
Cu 0.5878 0.5878 0.2365
Cu 0.1349 0.1349 0.5953
Zn 0.5000 0.5000 0.5000
Sr 0.0000 0.0000 0.0000

***

# Sr2ZnGa3Cu4

Sr2ZnGa3Cu4 after structural relaxation (PBE-GGA, Alexandria).

As for the total energy: -3.27 eV/atom. The calculation puts the formation energy at -0.25 eV per atom. As for the size of the total moment: 0.00 Bohr magnetons per cell.

Lattice parameters (Å, degrees): 4.3213 4.3213 10.3749 90.00 90.00 90.00
Sites, in units of the cell vectors:
Zn 0.5000 0.5000 0.5000
Cu 0.0000 0.0000 0.0000
Cu 0.0000 0.5000 0.3683
Cu 0.5000 0.0000 0.6317
Cu 0.5000 0.5000 0.0000
Ga 0.5000 0.0000 0.8784
Ga 0.0000 0.5000 0.1216
Ga 0.0000 0.0000 0.5000
Sr 0.5000 0.0000 0.2469
Sr 0.0000 0.5000 0.7531

***

# Ta4GaCu

Ta4GaCu after structural relaxation (PBE-GGA, Alexandria).

As for the total energy: -9.18 eV/atom. The calculation puts the formation energy at -0.09 eV per atom. As for the size of the total moment: 0.00 Bohr magnetons per cell.

Lattice parameters (Å, degrees): 5.0321 6.3055 6.3055 90.00 90.00 90.00
Sites, in units of the cell vectors:
Ta 0.0000 0.8384 0.3507
Ta 0.0000 0.6493 0.8384
Ta 0.5000 0.6493 0.1616
Ta 0.5000 0.8384 0.6493
Ta 0.0000 0.3507 0.1616
Ta 0.5000 0.1616 0.3507
Ta 0.5000 0.3507 0.8384
Ta 0.0000 0.1616 0.6493
Cu 0.2500 0.5000 0.5000
Cu 0.7500 0.5000 0.5000
Ga 0.2500 0.0000 0.0000
Ga 0.7500 0.0000 0.0000

***

# TaGa2Cu

TaGa2Cu after structural relaxation (PBE-GGA, Alexandria).

As for the total energy: -5.28 eV/atom. The calculation puts the formation energy at 0.22 eV per atom. As for the size of the total moment: 0.31 Bohr magnetons per cell.

Lattice parameters (Å, degrees): 4.4591 4.4591 4.4591 60.00 60.00 60.00
Sites, in units of the cell vectors:
Ga 0.2500 0.2500 0.2500
Ga 0.7500 0.7500 0.7500
Cu 0.0000 0.0000 0.0000
Ta 0.5000 0.5000 0.5000

***

# Ta2Ga3Cu

Ta2Ga3Cu after structural relaxation (PBE-GGA, Alexandria).

As for the total energy: -6.35 eV/atom. The calculation puts the formation energy at -0.21 eV per atom. As for the size of the total moment: 0.00 Bohr magnetons per cell.

Lattice parameters (Å, degrees): 5.1021 5.1021 8.0138 90.00 90.00 120.00
Sites, in units of the cell vectors:
Ta 0.3333 0.6667 0.5672
Ta 0.3333 0.6667 0.9328
Ta 0.6667 0.3333 0.4328
Ta 0.6667 0.3333 0.0672
Cu 0.0000 0.0000 0.5000
Cu 0.0000 0.0000 0.0000
Ga 0.6593 0.8296 0.2500
Ga 0.3407 0.1704 0.7500
Ga 0.8296 0.6593 0.7500
Ga 0.1704 0.3407 0.2500
Ga 0.1704 0.8296 0.2500
Ga 0.8296 0.1704 0.7500

***

# TaGaCu3

TaGaCu3 after structural relaxation (PBE-GGA, Alexandria).

As for the total energy: -4.57 eV/atom. The calculation puts the formation energy at 0.86 eV per atom. As for the excess energy over the best structure of this formula in the dataset: 0.0 meV per atom. As for the size of the total moment: 0.00 Bohr magnetons per cell.

Lattice parameters (Å, degrees): 4.3215 4.3215 4.3215 90.00 90.00 90.00
Sites, in units of the cell vectors:
Cu 0.5000 0.0000 0.0000
Cu 0.0000 0.5000 0.0000
Cu 0.0000 0.0000 0.5000
Ga 0.0000 0.0000 0.0000
Ta 0.5000 0.5000 0.5000

***

# Ta2Ga4Cu

Ta2Ga4Cu after structural relaxation (PBE-GGA, Alexandria).

As for the total energy: -5.71 eV/atom. The calculation puts the formation energy at 0.00 eV per atom. As for the size of the total moment: 0.00 Bohr magnetons per cell.

Lattice parameters (Å, degrees): 3.0011 5.4309 7.9011 109.63 100.95 90.00
Sites, in units of the cell vectors:
Cu 0.0000 0.0000 0.0000
Ta 0.7543 0.7641 0.5086
Ta 0.2457 0.2359 0.4914
Ga 0.6035 0.3217 0.2070
Ga 0.3965 0.6783 0.7930
Ga 0.1008 0.7484 0.2015
Ga 0.8992 0.2516 0.7985

***

# TaGa2Cu

TaGa2Cu after structural relaxation (PBE-GGA, Alexandria).

As for the total energy: -5.67 eV/atom. The calculation puts the formation energy at -0.17 eV per atom. As for the size of the total moment: 0.00 Bohr magnetons per cell.

Lattice parameters (Å, degrees): 3.8147 3.9660 3.9660 90.00 90.00 90.00
Sites, in units of the cell vectors:
Ga 0.0000 0.0000 0.5000
Ga 0.0000 0.5000 0.0000
Ta 0.5000 0.5000 0.5000
Cu 0.5000 0.0000 0.0000

***

# TaGa3Cu

TaGa3Cu after structural relaxation (PBE-GGA, Alexandria).

As for the total energy: -4.10 eV/atom. The calculation puts the formation energy at 0.91 eV per atom. As for the excess energy over the best structure of this formula in the dataset: 176.5 meV per atom. As for the size of the total moment: 0.00 Bohr magnetons per cell.

Lattice parameters (Å, degrees): 5.0299 5.0299 5.0299 90.00 90.00 90.00
Sites, in units of the cell vectors:
Ga 0.0000 0.0000 0.5000
Ga 0.5000 0.0000 0.0000
Ga 0.0000 0.5000 0.0000
Cu 0.5000 0.5000 0.5000
Ta 0.0000 0.0000 0.0000

***

# TaGa3Cu

TaGa3Cu after structural relaxation (PBE-GGA, Alexandria).

As for the total energy: -4.28 eV/atom. The calculation puts the formation energy at 0.73 eV per atom. As for the excess energy over the best structure of this formula in the dataset: 0.0 meV per atom. As for the size of the total moment: 0.00 Bohr magnetons per cell.

Lattice parameters (Å, degrees): 4.5172 4.5172 4.5172 90.00 90.00 90.00
Sites, in units of the cell vectors:
Cu 0.0000 0.0000 0.0000
Ta 0.5000 0.5000 0.5000
Ga 0.0000 0.5000 0.0000
Ga 0.0000 0.0000 0.5000
Ga 0.5000 0.0000 0.0000

***

# TaGaCu3

TaGaCu3 after structural relaxation (PBE-GGA, Alexandria).

As for the total energy: -4.04 eV/atom. The calculation puts the formation energy at 1.40 eV per atom. As for the excess energy over the best structure of this formula in the dataset: 535.4 meV per atom. As for the size of the total moment: 0.00 Bohr magnetons per cell.

Lattice parameters (Å, degrees): 4.8491 4.8491 4.8491 90.00 90.00 90.00
Sites, in units of the cell vectors:
Ta 0.0000 0.0000 0.0000
Ga 0.5000 0.5000 0.5000
Cu 0.0000 0.0000 0.5000
Cu 0.0000 0.5000 0.0000
Cu 0.5000 0.0000 0.0000

***

# TaGa2Cu2

TaGa2Cu2 after structural relaxation (PBE-GGA, Alexandria).

As for the total energy: -5.21 eV/atom. The calculation puts the formation energy at 0.01 eV per atom. As for the excess energy over the best structure of this formula in the dataset: 10.7 meV per atom. As for the size of the total moment: 0.00 Bohr magnetons per cell.

Lattice parameters (Å, degrees): 7.2027 7.2027 2.8215 90.00 90.00 90.00
Sites, in units of the cell vectors:
Ga 0.6401 0.1401 0.0000
Ga 0.8599 0.6401 0.0000
Ga 0.3599 0.8599 0.0000
Ga 0.1401 0.3599 0.0000
Cu 0.3411 0.1589 0.5000
Cu 0.6589 0.8411 0.5000
Cu 0.1589 0.6589 0.5000
Cu 0.8411 0.3411 0.5000
Ta 0.0000 0.0000 0.0000
Ta 0.5000 0.5000 0.0000